Record 1
Er2Ge3Pt2 (PBE, relaxed); ρ = 11.660 g/cm3; VASP energy = -41.21 eV per formula unit; E_form = -0.879 eV/atom
1.0
2.092 -9.111 0.000
2.092 9.111 0.000
0.000 0.000 7.044
Er Ge Pt
4 6 4
Direct
0.054 0.946 0.750
0.155 0.845 0.250
0.845 0.155 0.750
0.946 0.054 0.250
0.224 0.776 0.750
0.437 0.563 0.566
0.437 0.563 0.934
0.563 0.437 0.066
0.563 0.437 0.434
0.776 0.224 0.250
0.307 0.693 0.046
0.307 0.693 0.454
0.693 0.307 0.546
0.693 0.307 0.954

=====

Record 2
La2Pr3Dy8 (PBE, relaxed); ρ = 7.641 g/cm3; VASP energy = -60.69 eV per formula unit; E_form = 0.024 eV/atom
1.0
6.259 0.000 0.000
1.052 6.195 0.000
2.096 -0.328 11.211
La Pr Dy
2 3 8
Direct
0.114 0.232 0.038
0.886 0.768 0.962
0.269 0.538 0.422
0.500 0.000 0.500
0.731 0.462 0.578
0.037 0.075 0.345
0.192 0.384 0.731
0.347 0.692 0.116
0.424 0.846 0.807
0.576 0.154 0.193
0.653 0.308 0.884
0.808 0.616 0.269
0.963 0.925 0.655

=====

Record 3
HgPt2Br (PBE, relaxed); energy relative to the elements, uncorrected = 0.42 eV per atom; ρ = 14.312 g/cm3; VASP energy = -12.36 eV per formula unit
1.0
3.053 0.000 0.000
0.000 4.595 0.000
0.000 0.000 5.546
Hg Pt Br
1 2 1
Direct
0.000 0.000 0.000
0.000 0.500 0.500
0.500 0.500 0.000
0.500 0.000 0.500

=====

Record 4
Pm8As3PS4 (PBE, relaxed); energy relative to the elements, uncorrected = -1.82 eV per atom; ρ = 6.436 g/cm3; VASP energy = -102.99 eV per formula unit
1.0
4.138 2.389 6.716
-4.138 2.389 6.716
0.000 -4.778 6.716
Pm As P S
8 3 1 4
Direct
0.245 0.753 0.753
0.247 0.247 0.755
0.247 0.755 0.247
0.249 0.249 0.249
0.751 0.751 0.751
0.753 0.245 0.753
0.753 0.753 0.245
0.755 0.247 0.247
0.000 0.500 0.500
0.500 0.000 0.500
0.500 0.500 0.000
0.000 0.000 0.000
0.000 0.000 0.500
0.000 0.500 0.000
0.500 0.000 0.000
0.500 0.500 0.500

=====

Q: Look up the ρ of the second one.
A: 7.641 g/cm3

=====

Q: Which formula does entry 1 have?
A: Er2Ge3Pt2

=====

Q: Which of these has the highest VASP energy?
A: HgPt2Br

=====

Q: Among the records above, which one has the highest ρ?
A: HgPt2Br